(1)
First-principles (GGA-PBE) data for crystalline LaBeRh at its relaxed geometry, as listed in Alexandria via LeMat-Bulk.

Values from the calculation:
- Relative energy among the computed polymorphs: 327 meV/atom
- Density: 7.3 Mg/m³
- Crystal system: orthorhombic

Unit cell a=7.0467 b=10.4385 c=6.1937 alpha=90.00 beta=90.00 gamma=90.00
Space group Fmm2 (No. 42)
Symmetry-distinct sites (fractional):
La1 0.0000 0.2363 0.0000 x8
Be1 0.0000 0.0000 0.2981 x4
Be2 0.0000 0.0000 0.7043 x4
Rh1 0.2223 0.0000 0.0019 x8



(2)
First-principles (GGA-PBE) data for crystalline Mn2ReNi at its relaxed geometry, as listed in Alexandria via LeMat-Bulk.

Values from the calculation:
- Total DFT energy (no corrections): -9.11 eV per atom
- Density: 11.9 Mg/m³
- Crystal system: orthorhombic

Unit cell a=2.5911 b=3.6897 c=5.1788 alpha=90.00 beta=90.00 gamma=90.00
Space group Pmm2 (No. 25)
Symmetry-distinct sites (fractional):
Mn1 0.0000 0.0000 0.0000 x1
Mn2 0.5000 0.5000 0.2413 x1
Re1 0.5000 0.5000 0.7403 x1
Ni1 0.0000 0.0000 0.4875 x1